No. 1
A plane-wave DFT calculation with PBE was carried out for a relaxed Ta2ReCl crystal.

Geometry as POSCAR:
```
Ta2ReCl
1.0
3.289 -3.645 0.000
3.289 3.645 0.000
-0.645 0.000 2.847
Ta Re Cl
2 1 1
Cartesian
1.644 1.822 0.000
1.644 -1.822 0.000
-0.323 0.000 1.423
2.966 0.000 1.423
```

Results
The energy above the most stable polymorph in this dataset is 557.3 meV per atom. The value obtained for the uncorrected formation energy is 0.454 eV/atom.


No. 2
A plane-wave DFT calculation with PBE was carried out for a relaxed TaRe2Cl crystal.

Geometry as POSCAR:
```
TaRe2Cl
1.0
-1.482 2.300 4.562
1.482 -2.300 4.562
1.482 2.300 -4.562
Ta Re Cl
1 2 1
Cartesian
0.000 0.000 0.000
0.000 0.000 4.235
0.000 2.300 1.925
1.482 0.000 2.086
```

Results
The energy above the most stable polymorph in this dataset is 557.4 meV per atom. The value obtained for the uncorrected formation energy is 0.670 eV/atom.


No. 3
A plane-wave DFT calculation with PBE was carried out for a relaxed Ta2ReCl crystal.

Geometry as POSCAR:
```
Ta2ReCl
1.0
-2.453 2.453 2.832
2.453 -2.453 2.832
2.453 2.453 -2.832
Ta Re Cl
2 1 1
Cartesian
2.453 0.000 1.416
0.000 2.453 1.416
0.000 0.000 0.000
0.000 0.000 2.832
```

Results
The energy above the most stable polymorph in this dataset is 674.7 meV per atom. The value obtained for the uncorrected formation energy is 0.571 eV/atom.


No. 4
A plane-wave DFT calculation with PBE was carried out for a relaxed TaRe4Cl crystal.

Geometry as POSCAR:
```
TaRe4Cl
1.0
0.000 3.713 3.713
3.713 0.000 3.713
3.713 3.713 0.000
Ta Re Cl
1 4 1
Cartesian
0.000 0.000 0.000
2.786 2.786 2.786
4.640 4.640 2.786
4.640 2.786 4.640
2.786 4.640 4.640
5.569 5.569 5.569
```

Results
The value obtained for the uncorrected formation energy is 0.855 eV/atom.


No. 5
A plane-wave DFT calculation with PBE was carried out for a relaxed TaRe2Cl crystal.

Geometry as POSCAR:
```
TaRe2Cl
1.0
2.488 -4.919 0.000
2.488 4.919 0.000
0.000 0.000 2.746
Ta Re Cl
1 2 1
Cartesian
0.000 0.000 0.000
1.244 2.460 1.373
1.244 -2.460 1.373
2.488 0.000 0.000
```

Results
The energy above the most stable polymorph in this dataset is 810.6 meV per atom. The value obtained for the uncorrected formation energy is 0.924 eV/atom.


No. 6
A plane-wave DFT calculation with PBE was carried out for a relaxed TaRe2Cl crystal.

Geometry as POSCAR:
```
TaRe2Cl
1.0
2.821 0.000 0.000
0.000 4.581 0.000
-0.649 0.000 5.001
Ta Re Cl
1 2 1
Cartesian
0.000 0.000 0.000
0.365 2.291 3.778
1.807 2.291 1.223
-0.324 0.000 2.501
```

Results
The energy above the most stable polymorph in this dataset is 447.3 meV per atom. The value obtained for the uncorrected formation energy is 0.560 eV/atom.